Entry 1:
Below is a relaxed structure of Nd3In2I2, with properties calculated at the PBE level.

Properties
symmetry: P-1 (2)
electronic total energy: -3.973 eV/atom
V: 34.3 Å³/atom

a b c (Å): 4.522 6.122 9.792
angles (deg): 106.21 90.14 111.67
Fractional coordinates of all 7 atoms:
Nd 0.000 0.000 0.000
Nd 0.792 0.580 0.284
I 0.897 0.799 0.643
In 0.674 0.348 0.929
In 0.326 0.652 0.071
I 0.103 0.201 0.357
Nd 0.208 0.420 0.716

---

Entry 2:
Below is a relaxed structure of Nd2InI, with properties calculated at the PBE level.

Properties
symmetry: R3m (160)
ΔE to the lowest computed polymorph: 0 meV per atom
electronic total energy: -4.107 eV/atom
V: 31.9 Å³/atom

a b c (Å): 3.954 3.954 9.706
angles (deg): 78.25 78.25 60.00
Fractional coordinates of all 4 atoms:
I 0.500 0.500 0.501
Nd 0.252 0.252 0.243
In 0.667 0.667 0.000
Nd 0.081 0.081 0.756

---

Entry 3:
Below is a relaxed structure of NdIn2I8, with properties calculated at the PBE level.

Properties
symmetry: C2/m (12)
electronic total energy: -2.811 eV/atom
V: 55.5 Å³/atom

a b c (Å): 7.554 9.196 9.196
angles (deg): 76.96 81.35 81.35
Fractional coordinates of all 11 atoms:
I 0.721 0.195 0.195
I 0.782 0.722 0.097
In 0.670 0.796 0.796
I 0.847 0.609 0.609
Nd 0.000 0.000 0.000
I 0.218 0.903 0.278
In 0.330 0.204 0.204
I 0.279 0.805 0.805
I 0.218 0.278 0.903
I 0.782 0.097 0.722
I 0.153 0.391 0.391

---

Entry 4:
Below is a relaxed structure of NdIn5I8, with properties calculated at the PBE level.

Properties
symmetry: C2 (5)
electronic total energy: -2.909 eV/atom
V: 40.9 Å³/atom

a b c (Å): 9.040 9.040 9.091
angles (deg): 111.18 110.64 106.40
Fractional coordinates of all 14 atoms:
I 0.820 0.434 0.260
In 0.432 0.432 0.000
In 0.011 0.135 0.395
I 0.043 0.764 0.137
I 0.250 0.382 0.279
In 0.395 0.983 0.119
I 0.627 0.906 0.863
I 0.103 0.971 0.721
In 0.864 0.275 0.881
Nd 0.259 0.759 0.500
In 0.740 0.615 0.605
I 0.581 0.836 0.384
I 0.452 0.197 0.616
I 0.173 0.560 0.740

---

Entry 5:
Below is a relaxed structure of NdInI, with properties calculated at the PBE level.

Properties
symmetry: R-3m (166)
electronic total energy: -3.930 eV/atom
V: 37.5 Å³/atom

a b c (Å): 4.618 4.618 12.484
angles (deg): 79.34 79.34 60.00
Fractional coordinates of all 6 atoms:
I 0.721 0.721 0.838
In 0.846 0.846 0.462
In 0.154 0.154 0.538
Nd 0.560 0.560 0.319
Nd 0.440 0.440 0.681
I 0.279 0.279 0.162

---

Entry 6:
Below is a relaxed structure of Nd2In5I12, with properties calculated at the PBE level.

Properties
symmetry: C2/m (12)
electronic total energy: -3.014 eV/atom
V: 47.6 Å³/atom

a b c (Å): 9.105 10.757 10.997
angles (deg): 109.81 90.00 115.04
Fractional coordinates of all 19 atoms:
I 0.908 0.339 0.083
In 0.323 0.645 0.175
I 0.014 0.028 0.204
I 0.092 0.661 0.917
I 0.487 0.973 0.789
I 0.639 0.754 0.417
I 0.430 0.339 0.083
I 0.513 0.027 0.211
I 0.570 0.661 0.917
In 0.737 0.475 0.355
I 0.115 0.754 0.417
Nd 0.746 0.000 0.000
I 0.361 0.246 0.583
In 0.000 0.000 0.500
In 0.677 0.355 0.825
In 0.263 0.525 0.645
I 0.885 0.246 0.583
I 0.986 0.972 0.796
Nd 0.254 0.000 0.000

---

Entry 7:
Below is a relaxed structure of Nd2InI, with properties calculated at the PBE level.

Properties
symmetry: P4/mmm (123)
ΔE to the lowest computed polymorph: 4 meV per atom
electronic total energy: -4.102 eV/atom
V: 30.2 Å³/atom

a b c (Å): 3.739 3.739 8.644
angles (deg): 90.00 90.00 90.00
Fractional coordinates of all 4 atoms:
I 0.500 0.500 0.500
In 0.500 0.500 0.000
Nd 0.000 0.000 0.765
Nd 0.000 0.000 0.235

---

Entry 8:
Below is a relaxed structure of NdInI, with properties calculated at the PBE level.

Properties
symmetry: P-62m (189)
electronic total energy: -3.531 eV/atom
V: 33.2 Å³/atom

a b c (Å): 9.312 9.312 7.960
angles (deg): 90.00 90.00 120.00
Fractional coordinates of all 18 atoms:
I 0.000 0.259 0.500
I 0.741 0.741 0.500
In 0.571 0.000 0.750
Nd 0.667 0.333 0.500
Nd 0.000 0.000 0.750
In 0.429 0.429 0.750
In 0.000 0.571 0.250
I 0.000 0.259 0.000
I 0.741 0.741 0.000
I 0.259 0.000 0.000
Nd 0.333 0.667 0.500
Nd 0.333 0.667 0.000
I 0.259 0.000 0.500
In 0.571 0.000 0.250
Nd 0.000 0.000 0.250
Nd 0.667 0.333 0.000
In 0.429 0.429 0.250
In 0.000 0.571 0.750

---

Entry 9:
Below is a relaxed structure of Nd2InI, with properties calculated at the PBE level.

Properties
symmetry: R-3m (166)
ΔE to the lowest computed polymorph: 39 meV per atom
electronic total energy: -4.067 eV/atom
V: 32.5 Å³/atom

a b c (Å): 4.002 4.002 9.646
angles (deg): 78.03 78.03 60.00
Fractional coordinates of all 4 atoms:
Nd 0.254 0.254 0.238
Nd 0.746 0.746 0.762
In 0.000 0.000 0.000
I 0.500 0.500 0.500

---

Entry 10:
Below is a relaxed structure of Nd6InI8, with properties calculated at the PBE level.

Properties
symmetry: R-3 (148)
electronic total energy: -3.991 eV/atom
V: 40.1 Å³/atom

a b c (Å): 7.719 7.719 12.490
angles (deg): 72.00 72.00 60.00
Fractional coordinates of all 15 atoms:
I 0.892 0.230 0.325
Nd 0.948 0.632 0.155
In 0.000 0.000 0.000
Nd 0.368 0.736 0.845
Nd 0.632 0.264 0.155
I 0.447 0.108 0.675
I 0.770 0.447 0.675
Nd 0.736 0.052 0.845
I 0.667 0.667 0.000
I 0.333 0.333 0.000
Nd 0.052 0.368 0.845
I 0.108 0.770 0.675
I 0.553 0.892 0.325
Nd 0.264 0.948 0.155
I 0.230 0.553 0.325

---

Entry 11:
Below is a relaxed structure of Nd4InI, with properties calculated at the PBE level.

Properties
symmetry: P-1 (2)
electronic total energy: -4.156 eV/atom
V: 35.1 Å³/atom

a b c (Å): 6.703 7.598 9.311
angles (deg): 108.64 109.71 78.64
Fractional coordinates of all 12 atoms:
Nd 0.680 0.407 0.135
Nd 0.577 0.970 0.190
In 0.140 0.308 0.009
Nd 0.068 0.096 0.232
Nd 0.320 0.593 0.865
Nd 0.932 0.904 0.768
Nd 0.423 0.030 0.810
I 0.000 0.500 0.500
Nd 0.761 0.350 0.670
Nd 0.239 0.650 0.330
In 0.860 0.692 0.991
I 0.500 0.000 0.500

---

Entry 12:
Below is a relaxed structure of Nd7InI12, with properties calculated at the PBE level.

Properties
symmetry: R-3 (148)
electronic total energy: -3.954 eV/atom
V: 41.2 Å³/atom

a b c (Å): 10.076 10.076 10.076
angles (deg): 108.11 108.11 108.11
Fractional coordinates of all 20 atoms:
Nd 0.887 0.958 0.668
I 0.768 0.922 0.308
Nd 0.500 0.500 0.500
I 0.605 0.526 0.844
I 0.844 0.605 0.526
I 0.232 0.078 0.692
Nd 0.332 0.113 0.042
In 0.000 0.000 0.000
I 0.692 0.232 0.078
I 0.078 0.692 0.232
Nd 0.668 0.887 0.958
Nd 0.042 0.332 0.113
I 0.156 0.395 0.474
I 0.474 0.156 0.395
Nd 0.113 0.042 0.332
I 0.922 0.308 0.768
I 0.526 0.844 0.605
I 0.395 0.474 0.156
Nd 0.958 0.668 0.887
I 0.308 0.768 0.922